No. 1
DFT (PBE) results for an optimized crystal structure of CsTl2V2.

Cell lengths 9.344, 9.344, 3.255 Å; angles 90.00, 90.00, 90.00 degrees
Atoms (fractional coordinates):
Cs 0.000 0.000 0.000
Cs 0.500 0.500 0.000
Tl 0.192 0.308 0.000
Tl 0.308 0.808 0.000
Tl 0.692 0.192 0.000
Tl 0.808 0.692 0.000
V 0.070 0.570 0.500
V 0.430 0.070 0.500
V 0.570 0.930 0.500
V 0.930 0.430 0.500

As for the energy relative to the lowest polymorph listed for this composition: 0.318 eV per atom. For the total energy, the calculation gives -39.78 eV/cell. The calculation puts the calculated formation energy at 0.787 eV per atom.

=====

No. 2
DFT (PBE) results for an optimized crystal structure of Pr8Nd4Sc.

Cell lengths 7.914, 7.914, 7.914 Å; angles 97.86, 97.86, 97.86 degrees
Atoms (fractional coordinates):
Pr 0.169 0.169 0.668
Pr 0.169 0.668 0.169
Pr 0.248 0.248 0.248
Pr 0.332 0.831 0.831
Pr 0.668 0.169 0.169
Pr 0.752 0.752 0.752
Pr 0.831 0.332 0.831
Pr 0.831 0.831 0.332
Nd 0.000 0.000 0.000
Nd 0.000 0.500 0.500
Nd 0.500 0.000 0.500
Nd 0.500 0.500 0.000
Sc 0.500 0.500 0.500

For the total energy, the calculation gives -58.51 eV/cell. The calculation puts the calculated formation energy at 0.395 eV per atom.

=====

No. 3
DFT (PBE) results for an optimized crystal structure of CeZnTc.

Cell lengths 5.282, 5.282, 5.282 Å; angles 139.94, 139.94, 57.94 degrees
Atoms (fractional coordinates):
Ce 0.000 0.000 0.000
Zn 0.314 0.314 0.000
Tc 0.744 0.744 0.000

As for the energy relative to the lowest polymorph listed for this composition: 0.205 eV per atom. For the total energy, the calculation gives -17.57 eV/cell. The calculation puts the calculated formation energy at 0.000 eV per atom.

=====

No. 4
DFT (PBE) results for an optimized crystal structure of LaSc2Si.

Cell lengths 3.436, 3.436, 8.025 Å; angles 90.00, 90.00, 90.00 degrees
Atoms (fractional coordinates):
La 0.000 0.000 0.000
Sc 0.500 0.500 0.310
Sc 0.500 0.500 0.690
Si 0.000 0.000 0.500

For the total energy, the calculation gives -24.04 eV/cell. The formation energy from raw total energies is -257 meV/atom.

=====

No. 5
DFT (PBE) results for an optimized crystal structure of LiSc2Os.

Cell lengths 5.858, 5.858, 5.858 Å; angles 104.66, 104.66, 119.60 degrees
Atoms (fractional coordinates):
Li 0.000 0.000 0.000
Li 0.750 0.250 0.500
Sc 0.135 0.625 0.010
Sc 0.375 0.385 0.510
Sc 0.615 0.125 0.990
Sc 0.875 0.865 0.490
Os 0.250 0.750 0.500
Os 0.500 0.500 0.000

As for the energy relative to the lowest polymorph listed for this composition: 0.537 eV per atom. For the total energy, the calculation gives -49.97 eV/cell. The calculation puts the calculated formation energy at 0.206 eV per atom.

=====

No. 6
DFT (PBE) results for an optimized crystal structure of BeBiN2F.

Cell lengths 3.715, 3.715, 3.764 Å; angles 90.00, 90.00, 90.00 degrees
Atoms (fractional coordinates):
Be 0.000 0.000 0.000
Bi 0.500 0.500 0.500
N 0.000 0.500 0.000
N 0.500 0.000 0.000
F 0.000 0.000 0.500

As for the energy relative to the lowest polymorph listed for this composition: 0.000 eV per atom. For the total energy, the calculation gives -26.20 eV/cell. The formation energy from raw total energies is -15 meV/atom.

=====

No. 7
DFT (PBE) results for an optimized crystal structure of Tl2HgAsSe4.

Cell lengths 8.398, 8.398, 8.398 Å; angles 121.37, 118.88, 89.80 degrees
Atoms (fractional coordinates):
Tl 0.000 0.000 0.000
Tl 0.500 0.000 0.000
Tl 0.500 0.000 0.500
Tl 0.500 0.500 0.500
Hg 0.000 0.500 0.500
Hg 0.500 0.500 0.000
As 0.000 0.000 0.500
As 0.000 0.500 0.000
Se 0.213 0.746 0.467
Se 0.221 0.254 0.967
Se 0.233 0.245 0.513
Se 0.233 0.720 0.987
Se 0.767 0.280 0.013
Se 0.767 0.755 0.487
Se 0.779 0.746 0.033
Se 0.787 0.254 0.533

For the total energy, the calculation gives -50.27 eV/cell. The formation energy from raw total energies is -189 meV/atom.

=====

No. 8
DFT (PBE) results for an optimized crystal structure of LaPr2Tm5Sc.

Cell lengths 9.807, 9.807, 9.807 Å; angles 127.67, 127.67, 77.16 degrees
Atoms (fractional coordinates):
La 0.250 0.250 0.000
La 0.750 0.750 0.000
Pr 0.119 0.619 0.739
Pr 0.381 0.119 0.500
Pr 0.619 0.881 0.500
Pr 0.881 0.381 0.261
Tm 0.000 0.000 0.000
Tm 0.066 0.154 0.500
Tm 0.154 0.654 0.088
Tm 0.346 0.434 0.500
Tm 0.434 0.934 0.088
Tm 0.500 0.500 0.000
Tm 0.566 0.066 0.912
Tm 0.654 0.566 0.500
Tm 0.846 0.346 0.912
Tm 0.934 0.846 0.500
Sc 0.250 0.750 0.500
Sc 0.750 0.250 0.500

For the total energy, the calculation gives -81.56 eV/cell. The calculation puts the calculated formation energy at 0.266 eV per atom.

=====

No. 9
DFT (PBE) results for an optimized crystal structure of Tb2TiSi2Rh5.

Cell lengths 9.714, 9.714, 3.517 Å; angles 90.00, 90.00, 90.00 degrees
Atoms (fractional coordinates):
Tb 0.174 0.326 0.000
Tb 0.326 0.826 0.000
Tb 0.674 0.174 0.000
Tb 0.826 0.674 0.000
Ti 0.000 0.000 0.000
Ti 0.500 0.500 0.000
Si 0.123 0.623 0.000
Si 0.377 0.123 0.000
Si 0.623 0.877 0.000
Si 0.877 0.377 0.000
Rh 0.000 0.500 0.500
Rh 0.068 0.790 0.500
Rh 0.210 0.068 0.500
Rh 0.290 0.568 0.500
Rh 0.432 0.290 0.500
Rh 0.500 0.000 0.500
Rh 0.568 0.710 0.500
Rh 0.710 0.432 0.500
Rh 0.790 0.932 0.500
Rh 0.932 0.210 0.500

For the total energy, the calculation gives -148.22 eV/cell. The formation energy from raw total energies is -935 meV/atom.

=====

No. 10
DFT (PBE) results for an optimized crystal structure of KCaMnBe2.

Cell lengths 4.661, 4.661, 5.144 Å; angles 90.00, 90.00, 90.00 degrees
Atoms (fractional coordinates):
K 0.000 0.000 0.000
Ca 0.500 0.500 0.000
Mn 0.500 0.500 0.500
Be 0.000 0.500 0.500
Be 0.500 0.000 0.500

For the total energy, the calculation gives -15.56 eV/cell. The calculation puts the calculated formation energy at 0.833 eV per atom.

=====

No. 11
DFT (PBE) results for an optimized crystal structure of CeMg2Cd.

Cell lengths 4.604, 4.604, 4.918 Å; angles 90.00, 90.00, 90.00 degrees
Atoms (fractional coordinates):
Ce 0.000 0.000 0.000
Mg 0.000 0.500 0.500
Mg 0.500 0.000 0.500
Cd 0.500 0.500 0.000

As for the energy relative to the lowest polymorph listed for this composition: 0.105 eV per atom. For the total energy, the calculation gives -10.13 eV/cell. The calculation puts the calculated formation energy at -0.023 eV per atom.

=====

No. 12
DFT (PBE) results for an optimized crystal structure of LiTm5Cd6.

Cell lengths 8.940, 8.940, 5.176 Å; angles 106.79, 106.79, 120.06 degrees
Atoms (fractional coordinates):
Li 0.000 0.000 0.000
Tm 0.172 0.828 0.500
Tm 0.336 0.664 0.000
Tm 0.500 0.500 0.500
Tm 0.664 0.336 0.000
Tm 0.828 0.172 0.500
Cd 0.075 0.394 0.234
Cd 0.230 0.230 0.731
Cd 0.394 0.075 0.234
Cd 0.606 0.925 0.766
Cd 0.770 0.770 0.269
Cd 0.925 0.606 0.766

For the total energy, the calculation gives -33.28 eV/cell. The calculation puts the calculated formation energy at -0.294 eV per atom.

=====

No. 13
DFT (PBE) results for an optimized crystal structure of CaMn2Au.

Cell lengths 5.223, 5.223, 5.223 Å; angles 132.54, 132.54, 69.38 degrees
Atoms (fractional coordinates):
Ca 0.000 0.000 0.000
Mn 0.250 0.750 0.500
Mn 0.500 0.500 0.000
Au 0.750 0.250 0.500

For the total energy, the calculation gives -22.73 eV/cell. The calculation puts the calculated formation energy at 0.222 eV per atom.

=====

No. 14
DFT (PBE) results for an optimized crystal structure of LiSe3.

Cell lengths 6.195, 6.195, 6.195 Å; angles 143.76, 141.19, 54.14 degrees
Atoms (fractional coordinates):
Li 0.000 0.000 0.000
Se 0.331 0.831 0.500
Se 0.500 0.500 0.000
Se 0.669 0.169 0.500

As for the energy relative to the lowest polymorph listed for this composition: 0.191 eV per atom. For the total energy, the calculation gives -13.38 eV/cell. The formation energy from raw total energies is -252 meV/atom.

=====

No. 15
DFT (PBE) results for an optimized crystal structure of KLi2UI6.

Cell lengths 10.848, 10.848, 8.791 Å; angles 108.74, 108.74, 82.08 degrees
Atoms (fractional coordinates):
K 0.089 0.911 0.750
K 0.911 0.089 0.250
Li 0.233 0.380 0.894
Li 0.380 0.233 0.394
Li 0.620 0.767 0.606
Li 0.767 0.620 0.106
U 0.269 0.731 0.250
U 0.731 0.269 0.750
I 0.015 0.226 0.701
I 0.163 0.624 0.861
I 0.226 0.015 0.201
I 0.281 0.436 0.239
I 0.376 0.837 0.639
I 0.436 0.281 0.739
I 0.564 0.719 0.261
I 0.624 0.163 0.361
I 0.719 0.564 0.761
I 0.774 0.985 0.799
I 0.837 0.376 0.139
I 0.985 0.774 0.299

For the total energy, the calculation gives -72.63 eV/cell. The formation energy from raw total energies is -1080 meV/atom.

=====

No. 16
DFT (PBE) results for an optimized crystal structure of LaPm4Nd2Dy.

Cell lengths 9.657, 9.657, 6.950 Å; angles 110.93, 110.93, 88.56 degrees
Atoms (fractional coordinates):
La 0.000 0.500 0.000
La 0.500 0.000 0.500
Pm 0.244 0.754 0.998
Pm 0.246 0.756 0.502
Pm 0.247 0.247 0.469
Pm 0.247 0.247 0.969
Pm 0.753 0.753 0.031
Pm 0.753 0.753 0.531
Pm 0.754 0.244 0.498
Pm 0.756 0.246 0.002
Nd 0.000 0.500 0.500
Nd 0.500 0.000 0.000
Nd 0.500 0.500 0.000
Nd 0.500 0.500 0.500
Dy 0.000 0.000 0.000
Dy 0.000 0.000 0.500

For the total energy, the calculation gives -70.26 eV/cell. The calculation puts the calculated formation energy at 0.367 eV per atom.

=====

No. 17
DFT (PBE) results for an optimized crystal structure of Ce2Al4GaAg3.

Cell lengths 4.365, 4.365, 10.819 Å; angles 90.00, 90.00, 90.00 degrees
Atoms (fractional coordinates):
Ce 0.000 0.500 0.245
Ce 0.500 0.000 0.755
Al 0.000 0.000 0.500
Al 0.000 0.500 0.865
Al 0.500 0.000 0.135
Al 0.500 0.500 0.500
Ga 0.500 0.500 0.000
Ag 0.000 0.000 0.000
Ag 0.000 0.500 0.633
Ag 0.500 0.000 0.367

For the total energy, the calculation gives -41.64 eV/cell. The calculation puts the calculated formation energy at -0.322 eV per atom.

=====

No. 18
DFT (PBE) results for an optimized crystal structure of ReTcPb2.

Cell lengths 5.503, 5.503, 5.503 Å; angles 145.29, 121.06, 70.25 degrees
Atoms (fractional coordinates):
Re 0.000 0.000 0.000
Tc 0.500 0.500 0.000
Pb 0.252 0.752 0.500
Pb 0.748 0.248 0.500

As for the energy relative to the lowest polymorph listed for this composition: 0.808 eV per atom. For the total energy, the calculation gives -25.70 eV/cell. The calculation puts the calculated formation energy at 1.134 eV per atom.

=====

No. 19
DFT (PBE) results for an optimized crystal structure of SrMn4Cu.

Cell lengths 5.385, 5.385, 5.385 Å; angles 60.00, 60.00, 60.00 degrees
Atoms (fractional coordinates):
Sr 0.000 0.000 0.000
Mn 0.377 0.377 0.377
Mn 0.377 0.377 0.870
Mn 0.377 0.870 0.377
Mn 0.870 0.377 0.377
Cu 0.750 0.750 0.750

For the total energy, the calculation gives -38.53 eV/cell. The calculation puts the calculated formation energy at 0.655 eV per atom.

=====

No. 20
DFT (PBE) results for an optimized crystal structure of Pr4Np.

Cell lengths 5.773, 5.773, 5.773 Å; angles 90.00, 90.00, 90.00 degrees
Atoms (fractional coordinates):
Pr 0.000 0.000 0.000
Pr 0.000 0.500 0.500
Pr 0.500 0.000 0.500
Pr 0.500 0.500 0.000
Np 0.500 0.500 0.500

For the total energy, the calculation gives -28.85 eV/cell. The calculation puts the calculated formation energy at 0.642 eV per atom.

=====

Summary of total moment in μB/cell
0.00 0.58 0.01 0.00 0.00 0.00 0.00 0.00 0.00 2.33 1.15 0.00 7.53 0.00 6.00 0.01 1.34 0.00 14.82 6.53
(order as listed above)